Here is LiCa2Au7 after structural relaxation from Alexandria via LeMat-Bulk. Energies are from PBE.

The structure belongs to space group Fm-3m (No. 225); the cell edges are 9.788, 9.788 and 9.788 Å and the angles 90.00°, 90.00° and 90.00°. The distinct sites, in fractional coordinates, are Li at (0.000, 0.000, 0.000), Ca at (0.250, 0.250, 0.250), Au at (0.000, 0.000, 0.232) and Au at (0.000, 0.000, 0.500).

For the formation energy, the calculation gives -199 meV per atom.